Record 1
A relaxed TlZnAgPtSe crystal, computed with PBE.

Summary:
Spin magnetization, μB/f.u.: 0.00
Space-group type: Cm (8)
DFT total energy, eV per atom: -3.369
Formation energy without anion corrections, eV/atom: -0.17
Relative energy among the computed polymorphs, meV per atom: 0.1

Geometry as POSCAR:
```
TlZnAgPtSe
1.0
3.754 -2.188 0.000
3.754 2.188 0.000
-2.274 0.000 6.580
Tl Zn Ag Pt Se
1 1 1 1 1
Direct
0.000 0.000 0.000
0.762 0.762 0.301
0.262 0.262 0.753
0.392 0.392 0.191
0.544 0.544 0.566
```

Record 2
A relaxed TlZnAgPtSe crystal, computed with PBE.

Summary:
Spin magnetization, μB/f.u.: 0.00
Space-group type: P1 (1)
DFT total energy, eV per atom: -3.321
Formation energy without anion corrections, eV/atom: -0.12
Relative energy among the computed polymorphs, meV per atom: 47.9

Geometry as POSCAR:
```
TlZnAgPtSe
1.0
4.056 0.000 0.000
-2.023 4.084 0.000
-0.032 -2.123 6.555
Tl Zn Ag Pt Se
1 1 1 1 1
Direct
0.000 0.000 0.000
0.801 0.607 0.293
0.242 0.486 0.536
0.497 0.999 0.321
0.606 0.209 0.713
```